The following is a GGA-PBE calculation of a relaxed structure of LaYIn2, from the Alexandria database.

Computed properties:
- Total magnetization: 0.0 μB/cell
- D(E_F): 4.5 states/eV/f.u.
- DFT formation energy: -251 meV per atom

a b c (Å): 3.723 4.966 6.599
angles (deg): 90.00 90.00 90.00
Space group Pmm2 (No. 25)
Inequivalent atoms, fractional coordinates:
1 La 0.000 0.000 0.000 (multiplicity 1)
2 Y 0.500 0.500 0.325 (multiplicity 1)
3 In 0.000 0.000 0.495 (multiplicity 1)
4 In 0.500 0.500 0.806 (multiplicity 1)